First-principles (PBE) data for a geometry-optimized Er6BiC3 structure, as listed in Alexandria via LeMat-Bulk.

Calculated values
D(E_F)   13.99 states/eV per cell
ρ   9.545 g/cm3
Formation energy from the elements   -0.380 eV per atom
Calculated volume   434 Å³/cell

Cell: 10.509 3.595 11.732 Å, 90.00 101.40 90.00°
Fractional coordinates of all 20 atoms:
Er: 0.030 0.250 0.126
Er: 0.114 0.750 0.454
Er: 0.164 0.250 0.742
Er: 0.277 0.750 0.016
Er: 0.308 0.250 0.303
Er: 0.418 0.250 0.581
Er: 0.582 0.750 0.419
Er: 0.692 0.750 0.697
Er: 0.723 0.250 0.984
Er: 0.836 0.750 0.258
Er: 0.886 0.250 0.546
Er: 0.970 0.750 0.874
Bi: 0.453 0.750 0.823
Bi: 0.547 0.250 0.177
C: 0.022 0.750 0.650
C: 0.129 0.250 0.942
C: 0.354 0.750 0.440
C: 0.646 0.250 0.560
C: 0.871 0.750 0.058
C: 0.978 0.250 0.350



First-principles (PBE) data for a geometry-optimized Er4GeBiC structure, as listed in Alexandria via LeMat-Bulk.

Calculated values
D(E_F)   6.69 states/eV per cell
ρ   9.249 g/cm3
Formation energy from the elements   -0.638 eV per atom
Calculated volume   346 Å³/cell

Cell: 8.400 8.400 6.704 Å, 90.00 90.00 133.05°
Fractional coordinates of all 14 atoms:
Er: 0.000 0.500 0.000
Er: 0.000 0.500 0.500
Er: 0.085 0.915 0.750
Er: 0.403 0.597 0.750
Er: 0.500 0.000 0.000
Er: 0.500 0.000 0.500
Er: 0.597 0.403 0.250
Er: 0.915 0.085 0.250
Ge: 0.114 0.886 0.250
Ge: 0.886 0.114 0.750
Bi: 0.396 0.604 0.250
Bi: 0.604 0.396 0.750
C: 0.246 0.754 0.750
C: 0.754 0.246 0.250



First-principles (PBE) data for a geometry-optimized Er4HgBiC structure, as listed in Alexandria via LeMat-Bulk.

Calculated values
D(E_F)   6.87 states/eV per cell
ρ   10.157 g/cm3
Formation energy from the elements   -0.502 eV per atom
Calculated volume   178 Å³/cell

Cell: 8.495 8.495 8.495 Å, 147.29 147.29 46.93°
Fractional coordinates of all 7 atoms:
Er: 0.000 0.000 0.000
Er: 0.153 0.653 0.500
Er: 0.319 0.319 0.000
Er: 0.653 0.153 0.500
Hg: 0.519 0.519 0.000
Bi: 0.798 0.798 0.000
C: 0.162 0.162 0.000



First-principles (PBE) data for a geometry-optimized HoEr2BiC structure, as listed in Alexandria via LeMat-Bulk.

Calculated values
D(E_F)   3.41 states/eV per cell
ρ   10.271 g/cm3
Formation energy from the elements   -0.537 eV per atom
Calculated volume   116 Å³/cell

Cell: 4.873 4.873 4.905 Å, 90.00 90.00 90.00°
Fractional coordinates of all 5 atoms:
Ho: 0.000 0.000 0.000
Er: 0.000 0.500 0.500
Er: 0.500 0.000 0.500
Bi: 0.500 0.500 0.000
C: 0.000 0.000 0.500



First-principles (PBE) data for a geometry-optimized Ho2Er2Bi2C structure, as listed in Alexandria via LeMat-Bulk.

Calculated values
D(E_F)   5.51 states/eV per cell
ρ   9.855 g/cm3
Formation energy from the elements   -0.645 eV per atom
Calculated volume   184 Å³/cell

Cell: 8.659 8.659 8.659 Å, 147.74 147.74 46.28°
Fractional coordinates of all 7 atoms:
Ho: 0.152 0.152 0.000
Ho: 0.848 0.848 0.000
Er: 0.000 0.500 0.500
Er: 0.500 0.000 0.500
Bi: 0.355 0.355 0.000
Bi: 0.645 0.645 0.000
C: 0.000 0.000 0.000



First-principles (PBE) data for a geometry-optimized Ho2ErBiC structure, as listed in Alexandria via LeMat-Bulk.

Calculated values
D(E_F)   3.40 states/eV per cell
ρ   10.188 g/cm3
Formation energy from the elements   -0.537 eV per atom
Calculated volume   117 Å³/cell

Cell: 4.903 4.903 4.868 Å, 90.00 90.00 90.00°
Fractional coordinates of all 5 atoms:
Ho: 0.000 0.500 0.000
Ho: 0.500 0.000 0.000
Er: 0.000 0.000 0.500
Bi: 0.500 0.500 0.500
C: 0.000 0.000 0.000



First-principles (PBE) data for a geometry-optimized La2Er5Bi3C2 structure, as listed in Alexandria via LeMat-Bulk.

Calculated values
D(E_F)   9.14 states/eV per cell
ρ   9.359 g/cm3
Formation energy from the elements   -0.679 eV per atom
Calculated volume   313 Å³/cell

Cell: 13.676 13.676 13.676 Å, 159.51 159.51 29.13°
Fractional coordinates of all 12 atoms:
La: 0.193 0.193 0.000
La: 0.807 0.807 0.000
Er: 0.000 0.000 0.000
Er: 0.091 0.591 0.500
Er: 0.409 0.909 0.500
Er: 0.591 0.091 0.500
Er: 0.909 0.409 0.500
Bi: 0.324 0.324 0.000
Bi: 0.500 0.500 0.000
Bi: 0.676 0.676 0.000
C: 0.092 0.092 0.000
C: 0.908 0.908 0.000



First-principles (PBE) data for a geometry-optimized Nd2Er5Bi3C2 structure, as listed in Alexandria via LeMat-Bulk.

Calculated values
D(E_F)   8.57 states/eV per cell
ρ   9.597 g/cm3
Formation energy from the elements   -0.645 eV per atom
Calculated volume   307 Å³/cell

Cell: 13.570 13.570 13.570 Å, 159.47 159.47 29.20°
Fractional coordinates of all 12 atoms:
Nd: 0.194 0.194 0.000
Nd: 0.806 0.806 0.000
Er: 0.000 0.000 0.000
Er: 0.092 0.592 0.500
Er: 0.408 0.908 0.500
Er: 0.592 0.092 0.500
Er: 0.908 0.408 0.500
Bi: 0.321 0.321 0.000
Bi: 0.500 0.500 0.000
Bi: 0.679 0.679 0.000
C: 0.092 0.092 0.000
C: 0.908 0.908 0.000



What did the sixth record say?
First-principles (PBE) data for a geometry-optimized Ho2ErBiC structure, as listed in Alexandria via LeMat-Bulk.

Calculated values
D(E_F)   3.40 states/eV per cell
ρ   10.188 g/cm3
Formation energy from the elements   -0.537 eV per atom
Calculated volume   117 Å³/cell

Cell: 4.903 4.903 4.868 Å, 90.00 90.00 90.00°
Fractional coordinates of all 5 atoms:
Ho: 0.000 0.500 0.000
Ho: 0.500 0.000 0.000
Er: 0.000 0.000 0.500
Bi: 0.500 0.500 0.500
C: 0.000 0.000 0.000



Q: calculated volume of number 2 (Er4GeBiC)?
A: 346 Å³/cell



Q: Which of these has the highest calculated volume?
A: Er6BiC3